! PBE Cs2AsBr6Cl, optimized geometry; values from VASP
&SYSTEM
  ibrav = 0, nat = 10, ntyp = 4
/
ATOMIC_SPECIES
Cs 132.91 Cs.upf
As 74.92 As.upf
Br 79.90 Br.upf
Cl 35.45 Cl.upf
CELL_PARAMETERS angstrom
-4.547 -6.293 1.030
5.737 -4.589 -2.715
2.700 -6.062 4.655
ATOMIC_POSITIONS angstrom
Cs -0.626 -8.898 2.421
Cs 4.516 -8.046 0.549
As 0.000 0.000 0.000
Br 1.784 -5.792 2.263
Br 2.106 -11.152 0.708
Br 0.273 -2.501 -0.387
Br 0.916 -8.381 -1.297
Br -2.184 -5.901 0.169
Br 3.374 -4.981 -1.854
Cl 0.595 -5.441 -0.842
! calculated total energy: -27.04 eV per cell

***

! PBE Cs2AsBr2Cl4, optimized geometry; values from VASP
&SYSTEM
  ibrav = 0, nat = 9, ntyp = 4
/
ATOMIC_SPECIES
Cs 132.91 Cs.upf
As 74.92 As.upf
Br 79.90 Br.upf
Cl 35.45 Cl.upf
CELL_PARAMETERS angstrom
7.542 0.022 0.032
-3.601 6.627 -0.032
-3.601 -2.358 6.193
ATOMIC_POSITIONS angstrom
Cs 0.170 4.392 1.540
Cs 0.170 -0.101 4.653
As 0.000 0.000 0.000
Br -5.418 3.211 4.635
Br -1.783 1.057 1.525
Cl -3.601 4.636 1.347
Cl -1.406 3.335 4.814
Cl -3.601 -0.367 4.814
Cl 1.747 0.956 1.379
! calculated total energy: -27.64 eV per cell

***

! PBE Cs2AsBrCl6, optimized geometry; values from VASP
&SYSTEM
  ibrav = 0, nat = 10, ntyp = 4
/
ATOMIC_SPECIES
Cs 132.91 Cs.upf
As 74.92 As.upf
Br 79.90 Br.upf
Cl 35.45 Cl.upf
CELL_PARAMETERS angstrom
-6.356 1.624 4.193
-5.636 -5.319 0.745
-1.150 -3.520 6.848
ATOMIC_POSITIONS angstrom
Cs -3.285 -1.804 2.946
Cs -9.856 -5.412 8.839
As 0.000 0.000 0.000
Br -6.571 -3.608 5.893
Cl -6.694 -6.591 6.862
Cl -6.038 -4.584 2.957
Cl -7.104 -2.632 8.828
Cl -9.662 -3.658 5.348
Cl -3.480 -3.558 6.438
Cl -6.448 -0.624 4.923
! calculated total energy: -29.84 eV per cell

***

! PBE CsAs2BrCl, optimized geometry; values from VASP
&SYSTEM
  ibrav = 0, nat = 5, ntyp = 4
/
ATOMIC_SPECIES
Cs 132.91 Cs.upf
As 74.92 As.upf
Br 79.90 Br.upf
Cl 35.45 Cl.upf
CELL_PARAMETERS angstrom
5.138 0.000 0.000
0.000 5.138 0.000
0.000 0.000 7.805
ATOMIC_POSITIONS angstrom
Cs 2.569 2.569 3.903
As 0.000 2.569 0.000
As 2.569 0.000 0.000
Br 0.000 0.000 3.903
Cl 0.000 0.000 0.000
! E above lowest polymorph: 0.000 eV/atom
! calculated total energy: -13.32 eV per cell

***

! PBE CuAsBr2Cl, optimized geometry; values from VASP
&SYSTEM
  ibrav = 0, nat = 5, ntyp = 4
/
ATOMIC_SPECIES
As 74.92 As.upf
Cu 63.55 Cu.upf
Br 79.90 Br.upf
Cl 35.45 Cl.upf
CELL_PARAMETERS angstrom
-0.682 2.215 4.665
-4.792 1.483 -1.404
-1.952 -4.538 1.869
ATOMIC_POSITIONS angstrom
As -0.976 -2.269 0.935
Cu -3.713 -0.420 2.565
Br -2.396 0.741 -0.702
Br -0.341 1.107 2.332
Cl 0.000 0.000 0.000
! E above lowest polymorph: 0.669 eV/atom
! calculated total energy: -9.00 eV per cell

***

! PBE CuAsBr2Cl, optimized geometry; values from VASP
&SYSTEM
  ibrav = 0, nat = 5, ntyp = 4
/
ATOMIC_SPECIES
As 74.92 As.upf
Cu 63.55 Cu.upf
Br 79.90 Br.upf
Cl 35.45 Cl.upf
CELL_PARAMETERS angstrom
4.825 0.000 0.000
0.000 4.825 0.000
0.000 0.000 5.128
ATOMIC_POSITIONS angstrom
As 0.000 0.000 2.564
Cu 0.000 0.000 0.000
Br 0.000 2.412 0.000
Br 2.412 0.000 0.000
Cl 2.412 2.412 2.564
! E above lowest polymorph: 0.000 eV/atom
! calculated total energy: -12.34 eV per cell

***

| no. | DOS(E_F) (states/eV/atom) |
| --- | --- |
| 1 | 0.116 |
| 2 | 0.521 |
| 3 | 0.480 |
| 4 | 0.759 |
| 5 | 0.507 |
| 6 | 0.743 |